Here is an optimized crystal structure of Ce2TmPaSb5 from Alexandria via LeMat-Bulk. Energies are from PBE.

Results
As for the symmetry: P4/mmm. The calculation puts the raw formation energy at -0.16 eV per atom.

Unit cell a=5.5052 b=5.5052 c=11.5160 alpha=90.00 beta=90.00 gamma=90.00
Fractional positions:
Ce 0.5000 0.5000 0.2850
Ce 0.5000 0.5000 0.7150
Tm 0.0000 0.0000 0.0000
Pa 0.0000 0.0000 0.5000
Sb 0.0000 0.5000 0.5000
Sb 0.5000 0.0000 0.5000
Sb 0.0000 0.0000 0.7544
Sb 0.0000 0.0000 0.2456
Sb 0.5000 0.5000 0.0000